An optimized crystal structure of CrInO2, computed with PBE+U.

Geometry as POSCAR:
```
CrInO2
1.0
-4.4040 -2.2024 -5.3155
-0.7660 -2.9687 0.1867
-1.2764 2.0680 1.8787
Cr O In
1 2 1
Cartesian
-3.2232 -1.5516 -1.6250 Cr
-3.8147 -3.0634 -2.8693 O
-2.6317 -0.0398 -0.3808 O
0.0000 0.0000 0.0000 In
```

Computed properties:
- Space group: No. 12
- DFT total energy: -6.4417 eV per atom